(1)
Entry from Alexandria via LeMat-Bulk: a relaxed structure of LiCaCeZn (GGA-PBE).

The structure in CIF format:
```
data_LiCaCeZn
_chemical_formula_sum 'Li4 Ca4 Ce4 Zn4'
_space_group_name_H-M_alt 'F -4 3 m'
_space_group_IT_number 216
_space_group_name_Hall 'F -4 2 3'
_cell_length_a 7.442
_cell_length_b 7.442
_cell_length_c 7.442
_cell_angle_alpha 90.00
_cell_angle_beta 90.00
_cell_angle_gamma 90.00
loop_
_atom_site_label
_atom_site_fract_x
_atom_site_fract_y
_atom_site_fract_z
Li1 0.000 0.000 0.000
Ca1 0.250 0.250 0.750
Ce1 0.250 0.250 0.250
Zn1 0.000 0.000 0.500
```

(2)
# CaCeLu2 GGA-PBE optimized geometry
data_CaCeLu2
_chemical_formula_sum 'Ca1 Ce1 Lu2'
_space_group_name_H-M_alt 'P 4/m m m'
_space_group_IT_number 123
_space_group_name_Hall '-P 4 2'
_cell_length_a 3.567
_cell_length_b 3.567
_cell_length_c 9.969
_cell_angle_alpha 90.00
_cell_angle_beta 90.00
_cell_angle_gamma 90.00
loop_
_atom_site_label
_atom_site_fract_x
_atom_site_fract_y
_atom_site_fract_z
Ca1 0.000 0.000 0.000
Ce1 0.000 0.000 0.500
Lu1 0.500 0.500 0.277
# distance to the lowest polymorph of the same formula	0.00	eV/f.u.

(3)
# CaCeLu2 GGA-PBE optimized geometry
data_CaCeLu2
_chemical_formula_sum 'Ca3 Ce3 Lu6'
_space_group_name_H-M_alt 'R -3 m'
_space_group_IT_number 166
_space_group_name_Hall '-R 3 2"'
_cell_length_a 3.4665
_cell_length_b 3.4665
_cell_length_c 36.5625
_cell_angle_alpha 90.00
_cell_angle_beta 90.00
_cell_angle_gamma 120.00
loop_
_atom_site_label
_atom_site_fract_x
_atom_site_fract_y
_atom_site_fract_z
Ca1 0.0000 0.0000 0.0000
Ce1 0.0000 0.0000 0.5000
Lu1 0.0000 0.0000 0.0913
# distance to the lowest polymorph of the same formula	0.39	eV/f.u.

(4)
# CaCeLu2 GGA-PBE optimized geometry
data_CaCeLu2
_chemical_formula_sum 'Ca1 Ce1 Lu2'
_space_group_name_H-M_alt 'P 4/m m m'
_space_group_IT_number 123
_space_group_name_Hall '-P 4 2'
_cell_length_a 5.737
_cell_length_b 5.737
_cell_length_c 3.878
_cell_angle_alpha 90.00
_cell_angle_beta 90.00
_cell_angle_gamma 90.00
loop_
_atom_site_label
_atom_site_fract_x
_atom_site_fract_y
_atom_site_fract_z
Ca1 0.000 0.000 0.000
Ce1 0.500 0.500 0.000
Lu1 0.000 0.500 0.500
# distance to the lowest polymorph of the same formula	0.47	eV/f.u.

(5)
# CaCeLu GGA-PBE optimized geometry
data_CaCeLu
_chemical_formula_sum 'Ca2 Ce2 Lu2'
_space_group_name_H-M_alt 'I 4 m m'
_space_group_IT_number 107
_space_group_name_Hall 'I 4 -2'
_cell_length_a 3.546
_cell_length_b 3.546
_cell_length_c 15.798
_cell_angle_alpha 90.00
_cell_angle_beta 90.00
_cell_angle_gamma 90.00
loop_
_atom_site_label
_atom_site_fract_x
_atom_site_fract_y
_atom_site_fract_z
Ca1 0.000 0.000 0.000
Ce1 0.000 0.000 0.321
Lu1 0.000 0.000 0.675
# distance to the lowest polymorph of the same formula	0.05	eV/f.u.

(6)
# CaCeLu2 GGA-PBE optimized geometry
data_CaCeLu2
_chemical_formula_sum 'Ca4 Ce4 Lu8'
_space_group_name_H-M_alt 'F m -3 m'
_space_group_IT_number 225
_space_group_name_Hall '-F 4 2 3'
_cell_length_a 8.026
_cell_length_b 8.026
_cell_length_c 8.026
_cell_angle_alpha 90.00
_cell_angle_beta 90.00
_cell_angle_gamma 90.00
loop_
_atom_site_label
_atom_site_fract_x
_atom_site_fract_y
_atom_site_fract_z
Ca1 0.000 0.000 0.000
Ce1 0.000 0.000 0.500
Lu1 0.250 0.250 0.250
# distance to the lowest polymorph of the same formula	0.51	eV/f.u.

(7)
# CaCeLu GGA-PBE optimized geometry
data_CaCeLu
_chemical_formula_sum 'Ca1 Ce1 Lu1'
_space_group_name_H-M_alt 'P 3 m 1'
_space_group_IT_number 156
_cell_length_a 3.5538
_cell_length_b 3.5538
_cell_length_c 8.9811
_cell_angle_alpha 90.00
_cell_angle_beta 90.00
_cell_angle_gamma 120.00
loop_
_space_group_symop_operation_xyz
'x,y,z'
'-y,x-y,z'
'-x+y,-x,z'
'-y,-x,z'
'-x+y,y,z'
'x,x-y,z'
loop_
_atom_site_label
_atom_site_fract_x
_atom_site_fract_y
_atom_site_fract_z
Ca1 0.0000 0.0000 0.0000
Ce1 0.3333 0.6667 0.6464
Lu1 0.6667 0.3333 0.3437
# distance to the lowest polymorph of the same formula	0.00	eV/f.u.

(8)
Entry from Alexandria via LeMat-Bulk: a relaxed structure of CaCeLuMg (GGA-PBE).

The structure in CIF format:
```
data_CaCeLuMg
_chemical_formula_sum 'Ca4 Ce4 Lu4 Mg4'
_space_group_name_H-M_alt 'F -4 3 m'
_space_group_IT_number 216
_space_group_name_Hall 'F -4 2 3'
_cell_length_a 7.901
_cell_length_b 7.901
_cell_length_c 7.901
_cell_angle_alpha 90.00
_cell_angle_beta 90.00
_cell_angle_gamma 90.00
loop_
_atom_site_label
_atom_site_fract_x
_atom_site_fract_y
_atom_site_fract_z
Ca1 0.000 0.000 0.000
Ce1 0.000 0.000 0.500
Lu1 0.250 0.250 0.750
Mg1 0.250 0.250 0.250
```

(9)
Entry from Alexandria via LeMat-Bulk: a relaxed structure of CaCeNdLu (GGA-PBE).

The structure in CIF format:
```
data_CaCeNdLu
_chemical_formula_sum 'Ca4 Ce4 Nd4 Lu4'
_space_group_name_H-M_alt 'F -4 3 m'
_space_group_IT_number 216
_space_group_name_Hall 'F -4 2 3'
_cell_length_a 8.168
_cell_length_b 8.168
_cell_length_c 8.168
_cell_angle_alpha 90.00
_cell_angle_beta 90.00
_cell_angle_gamma 90.00
loop_
_atom_site_label
_atom_site_fract_x
_atom_site_fract_y
_atom_site_fract_z
Ca1 0.000 0.000 0.000
Ce1 0.000 0.000 0.500
Nd1 0.250 0.250 0.750
Lu1 0.250 0.250 0.250
```

(10)
Entry from Alexandria via LeMat-Bulk: a relaxed structure of CaCeLuTl (GGA-PBE).

The structure in CIF format:
```
data_CaCeLuTl
_chemical_formula_sum 'Ca4 Ce4 Lu4 Tl4'
_space_group_name_H-M_alt 'F -4 3 m'
_space_group_IT_number 216
_space_group_name_Hall 'F -4 2 3'
_cell_length_a 7.850
_cell_length_b 7.850
_cell_length_c 7.850
_cell_angle_alpha 90.00
_cell_angle_beta 90.00
_cell_angle_gamma 90.00
loop_
_atom_site_label
_atom_site_fract_x
_atom_site_fract_y
_atom_site_fract_z
Ca1 0.000 0.000 0.000
Ce1 0.000 0.000 0.500
Lu1 0.250 0.250 0.250
Tl1 0.250 0.250 0.750
```

(11)
Entry from Alexandria via LeMat-Bulk: a relaxed structure of CaCeTmLu (GGA-PBE).

The structure in CIF format:
```
data_CaCeTmLu
_chemical_formula_sum 'Ca4 Ce4 Tm4 Lu4'
_space_group_name_H-M_alt 'F -4 3 m'
_space_group_IT_number 216
_space_group_name_Hall 'F -4 2 3'
_cell_length_a 8.046
_cell_length_b 8.046
_cell_length_c 8.046
_cell_angle_alpha 90.00
_cell_angle_beta 90.00
_cell_angle_gamma 90.00
loop_
_atom_site_label
_atom_site_fract_x
_atom_site_fract_y
_atom_site_fract_z
Ca1 0.000 0.000 0.000
Ce1 0.000 0.000 0.500
Tm1 0.250 0.250 0.750
Lu1 0.250 0.250 0.250
```

(12)
# Ca2CeMg GGA-PBE optimized geometry
data_Ca2CeMg
_chemical_formula_sum 'Ca2 Ce1 Mg1'
_space_group_name_H-M_alt 'P 4/m m m'
_space_group_IT_number 123
_space_group_name_Hall '-P 4 2'
_cell_length_a 3.580
_cell_length_b 3.580
_cell_length_c 10.523
_cell_angle_alpha 90.00
_cell_angle_beta 90.00
_cell_angle_gamma 90.00
loop_
_atom_site_label
_atom_site_fract_x
_atom_site_fract_y
_atom_site_fract_z
Ca1 0.000 0.000 0.229
Ce1 0.500 0.500 0.500
Mg1 0.500 0.500 0.000
# distance to the lowest polymorph of the same formula	0.00	eV/f.u.

(13)
Entry from Alexandria via LeMat-Bulk: a relaxed structure of CaCeMg4 (GGA-PBE).

The structure in CIF format:
```
data_CaCeMg4
_chemical_formula_sum 'Ca4 Ce4 Mg16'
_space_group_name_H-M_alt 'F -4 3 m'
_space_group_IT_number 216
_space_group_name_Hall 'F -4 2 3'
_cell_length_a 8.700
_cell_length_b 8.700
_cell_length_c 8.700
_cell_angle_alpha 90.00
_cell_angle_beta 90.00
_cell_angle_gamma 90.00
loop_
_atom_site_label
_atom_site_fract_x
_atom_site_fract_y
_atom_site_fract_z
Ca1 0.000 0.000 0.000
Ce1 0.250 0.250 0.250
Mg1 0.124 0.124 0.624
```

(14)
# CaCeMg GGA-PBE optimized geometry
data_CaCeMg
_chemical_formula_sum 'Ca1 Ce1 Mg1'
_space_group_name_H-M_alt 'P 3 m 1'
_space_group_IT_number 156
_cell_length_a 5.6657
_cell_length_b 5.6657
_cell_length_c 3.3595
_cell_angle_alpha 90.00
_cell_angle_beta 90.00
_cell_angle_gamma 120.00
loop_
_space_group_symop_operation_xyz
'x,y,z'
'-y,x-y,z'
'-x+y,-x,z'
'-y,-x,z'
'-x+y,y,z'
'x,x-y,z'
loop_
_atom_site_label
_atom_site_fract_x
_atom_site_fract_y
_atom_site_fract_z
Ca1 0.0000 0.0000 0.0000
Ce1 0.6667 0.3333 0.5995
Mg1 0.3333 0.6667 0.2031
# distance to the lowest polymorph of the same formula	0.32	eV/f.u.

(15)
Entry from Alexandria via LeMat-Bulk: a relaxed structure of Ca5CeMg6 (GGA-PBE).

The structure in CIF format:
```
data_Ca5CeMg6
_chemical_formula_sum 'Ca10 Ce2 Mg12'
_space_group_name_H-M_alt 'C 1 2/m 1'
_space_group_IT_number 12
_cell_length_a 17.716
_cell_length_b 7.793
_cell_length_c 5.611
_cell_angle_alpha 90.00
_cell_angle_beta 108.21
_cell_angle_gamma 90.00
loop_
_space_group_symop_operation_xyz
'x,y,z'
'-x,-y,-z'
'-x,y,-z'
'x,-y,z'
'x+1/2,y+1/2,z'
'-x+1/2,-y+1/2,-z'
'-x+1/2,y+1/2,-z'
'x+1/2,-y+1/2,z'
loop_
_atom_site_label
_atom_site_fract_x
_atom_site_fract_y
_atom_site_fract_z
Ca1 0.000 0.000 0.000
Ca2 0.165 0.000 0.665
Ca3 0.166 0.500 0.666
Ce1 0.000 0.500 0.000
Mg1 0.000 0.258 0.500
Mg2 0.165 0.256 0.165
```

(16)
# CaCeMg GGA-PBE optimized geometry
data_CaCeMg
_chemical_formula_sum 'Ca2 Ce2 Mg2'
_space_group_name_H-M_alt 'I 4 m m'
_space_group_IT_number 107
_space_group_name_Hall 'I 4 -2'
_cell_length_a 3.498
_cell_length_b 3.498
_cell_length_c 15.399
_cell_angle_alpha 90.00
_cell_angle_beta 90.00
_cell_angle_gamma 90.00
loop_
_atom_site_label
_atom_site_fract_x
_atom_site_fract_y
_atom_site_fract_z
Ca1 0.000 0.000 0.000
Ce1 0.000 0.000 0.309
Mg1 0.000 0.000 0.659
# distance to the lowest polymorph of the same formula	0.12	eV/f.u.

(17)
Entry from Alexandria via LeMat-Bulk: a relaxed structure of CaCe2Mg (GGA-PBE).

The structure in CIF format:
```
data_CaCe2Mg
_chemical_formula_sum 'Ca3 Ce6 Mg3'
_space_group_name_H-M_alt 'R -3 m'
_space_group_IT_number 166
_space_group_name_Hall '-R 3 2"'
_cell_length_a 3.2399
_cell_length_b 3.2399
_cell_length_c 37.4781
_cell_angle_alpha 90.00
_cell_angle_beta 90.00
_cell_angle_gamma 120.00
loop_
_atom_site_label
_atom_site_fract_x
_atom_site_fract_y
_atom_site_fract_z
Ca1 0.0000 0.0000 0.0000
Ce1 0.0000 0.0000 0.0886
Mg1 0.0000 0.0000 0.5000
```

(18)
# Ca2CeMg GGA-PBE optimized geometry
data_Ca2CeMg
_chemical_formula_sum 'Ca6 Ce3 Mg3'
_space_group_name_H-M_alt 'R -3 m'
_space_group_IT_number 166
_space_group_name_Hall '-R 3 2"'
_cell_length_a 3.4884
_cell_length_b 3.4884
_cell_length_c 37.7703
_cell_angle_alpha 90.00
_cell_angle_beta 90.00
_cell_angle_gamma 120.00
loop_
_atom_site_label
_atom_site_fract_x
_atom_site_fract_y
_atom_site_fract_z
Ca1 0.0000 0.0000 0.0911
Ce1 0.0000 0.0000 0.0000
Mg1 0.0000 0.0000 0.5000
# distance to the lowest polymorph of the same formula	0.45	eV/f.u.

(19)
Entry from Alexandria via LeMat-Bulk: a relaxed structure of Ca2CeMg9 (GGA-PBE).

The structure in CIF format:
```
data_Ca2CeMg9
_chemical_formula_sum 'Ca6 Ce3 Mg27'
_space_group_name_H-M_alt 'R -3 m'
_space_group_IT_number 166
_space_group_name_Hall '-R 3 2"'
_cell_length_a 6.1325
_cell_length_b 6.1325
_cell_length_c 29.7688
_cell_angle_alpha 90.00
_cell_angle_beta 90.00
_cell_angle_gamma 120.00
loop_
_atom_site_label
_atom_site_fract_x
_atom_site_fract_y
_atom_site_fract_z
Ca1 0.0000 0.0000 0.1423
Ce1 0.0000 0.0000 0.0000
Mg1 0.0000 0.0000 0.3337
Mg2 0.0000 0.0000 0.5000
Mg3 0.0027 0.5014 0.9171
```

(20)
# CaCeMg6 GGA-PBE optimized geometry
data_CaCeMg6
_chemical_formula_sum 'Ca2 Ce2 Mg12'
_space_group_name_H-M_alt 'A m m 2'
_space_group_IT_number 38
_cell_length_a 5.263
_cell_length_b 6.852
_cell_length_c 11.763
_cell_angle_alpha 90.00
_cell_angle_beta 90.00
_cell_angle_gamma 90.00
loop_
_space_group_symop_operation_xyz
'x,y,z'
'-x,-y,z'
'-x,y,z'
'x,-y,z'
'x,y+1/2,z+1/2'
'-x,-y+1/2,z+1/2'
'-x,y+1/2,z+1/2'
'x,-y+1/2,z+1/2'
loop_
_atom_site_label
_atom_site_fract_x
_atom_site_fract_y
_atom_site_fract_z
Ca1 0.000 0.000 0.000
Ce1 0.500 0.000 0.328
Mg1 0.000 0.000 0.500
Mg2 0.000 0.242 0.747
Mg3 0.500 0.000 0.823
Mg4 0.500 0.234 0.584
# distance to the lowest polymorph of the same formula	0.00	eV/f.u.

| no. | magnetization (μB/atom) | ΔH_f (0 K) (kJ per mole of atoms) |
| --- | --- | --- |
| 1 | 0.29 | -0.4 |
| 2 | 0.00 | 10.0 |
| 3 | 0.11 | 19.6 |
| 4 | 0.28 | 21.3 |
| 5 | 0.31 | 15.8 |
| 6 | 0.35 | 22.4 |
| 7 | 0.35 | 14.3 |
| 8 | 0.28 | 16.1 |
| 9 | 0.53 | 23.4 |
| 10 | 0.44 | 4.2 |
| 11 | 0.38 | 22.7 |
| 12 | 0.46 | 12.3 |
| 13 | 0.18 | -2.4 |
| 14 | 0.48 | 17.1 |
| 15 | 0.10 | -4.5 |
| 16 | 0.46 | 10.6 |
| 17 | 0.12 | 21.8 |
| 18 | 0.31 | 23.2 |
| 19 | 0.10 | -3.4 |
| 20 | 0.18 | -0.6 |